A relaxed Ac2FeRuO8 crystal. Source: Alexandria, functional PBE+U.

total energy = -7.135 eV/atom
Fermi-level density of states = 0.213 states/eV per atom
SG = P-1

The structure in POSCAR format:
```
Ac2FeRuO8
1.0
4.449 0.000 0.000
0.563 5.340 0.000
0.236 0.607 7.137
Ac Fe Ru O
2 1 1 8
direct
0.200 0.014 0.248 Ac
0.800 0.986 0.752 Ac
0.500 0.500 0.000 Fe
0.500 0.500 0.500 Ru
0.186 0.723 0.566 O
0.297 0.818 0.939 O
0.304 0.216 0.603 O
0.315 0.496 0.245 O
0.685 0.504 0.755 O
0.696 0.784 0.397 O
0.703 0.182 0.061 O
0.814 0.277 0.434 O
```